Entry 1:
Compound: TiNb3Au
Source: Alexandria
Functional: GGA-PBE
Structure: optimized geometry

## Properties
space-group type: Pm-3m
offset from the most stable computed form: 0 meV per atom
ΔH_f (0 K): 1.1091 eV per atom
electronic total energy: -35.836 eV for the cell shown
DOS(E_F): 6.8 states/eV/f.u.

Cell lengths 4.659, 4.659, 4.659 Å; angles 90.00, 90.00, 90.00 degrees
Sites, in units of the cell vectors:
Ti 0.000 0.000 0.000
Nb 0.000 0.000 0.500
Nb 0.000 0.500 0.000
Nb 0.500 0.000 0.000
Au 0.500 0.500 0.500

=====

Entry 2:
Compound: Ti3NbAu
Source: Alexandria
Functional: GGA-PBE
Structure: optimized geometry

## Properties
space-group type: Pm-3m
offset from the most stable computed form: 108 meV per atom
ΔH_f (0 K): 1.0153 eV per atom
electronic total energy: -31.955 eV for the cell shown
DOS(E_F): 7.2 states/eV/f.u.

Cell lengths 4.819, 4.819, 4.819 Å; angles 90.00, 90.00, 90.00 degrees
Sites, in units of the cell vectors:
Ti 0.000 0.000 0.500
Ti 0.000 0.500 0.000
Ti 0.500 0.000 0.000
Nb 0.500 0.500 0.500
Au 0.000 0.000 0.000

=====

Entry 3:
Compound: TiNbAu2
Source: Alexandria
Functional: GGA-PBE
Structure: optimized geometry

## Properties
space-group type: Fm-3m
offset from the most stable computed form: 157 meV per atom
ΔH_f (0 K): -0.0723 eV per atom
electronic total energy: -24.808 eV for the cell shown
DOS(E_F): 4.0 states/eV/f.u.

Cell lengths 4.664, 4.664, 4.664 Å; angles 60.00, 60.00, 60.00 degrees
Sites, in units of the cell vectors:
Ti 0.000 0.000 0.000
Nb 0.500 0.500 0.500
Au 0.250 0.250 0.250
Au 0.750 0.750 0.750